DFT (GGA-PBE) results for a relaxed structure of HoPaF.

Calculated values
* total moment: 0.035 μB per atom
* total DFT energy (no corrections): -6.91 eV per atom
* D(E_F): 3.7 states/eV/f.u.

abc: 3.3978 3.3978 13.6247
angles: 75.54 75.54 60.01
Last column: nearest neighbours and their distance in Å.
Fractional positions:
Ho 0.6673 0.6673 0.4670  3 F 2.34
Ho 0.0859 0.0859 0.8404  3 F 2.34
F 0.4848 0.4848 0.7423  3 Ho 2.34
F 0.2685 0.2685 0.5651  3 Ho 2.34
Pa 0.6117 0.6117 0.0512  9 Pa 3.32-3.40, 3 Ho 3.38
Pa 0.1414 0.1414 0.2561  9 Pa 3.32-3.40, 3 Ho 3.38